Here is a relaxed structure of MnGaI2N from the Alexandria database. Energies are from GGA-PBE.

a b c (Å): 5.839 5.839 3.703
angles (deg): 90.00 90.00 90.00
Space group P4/mmm (No. 123)
Unique sites:
Mn (0.000, 0.000, 0.000) [1 per cell]
Ga (0.500, 0.500, 0.500) [1 per cell]
I (0.000, 0.500, 0.500) [2 per cell]
N (0.500, 0.500, 0.000) [1 per cell]

Summary:
Crystal system   tetragonal
Formation energy without anion corrections   0.66 eV/atom
Relative energy among the computed polymorphs   540 meV per atom